No. 1
Entry from the Alexandria database: a geometry-optimized Rb2InIrI6 structure (PBE-GGA).

Lattice parameters (Å, degrees): 8.380 8.380 8.380 119.97 119.97 90.06
Sites, in units of the cell vectors:
Rb1 0.250 0.750 0.500
Rb2 0.750 0.250 0.500
In1 0.000 0.000 0.000
Ir1 0.500 0.500 0.000
I1 0.271 0.271 0.000
I2 0.271 0.271 0.543
I3 0.271 0.729 0.000
I4 0.729 0.271 0.000
I5 0.729 0.729 0.000
I6 0.729 0.729 0.457

E_form (uncorrected) (kJ/mol of formula units): -662
Fermi-level density of states (states/eV per atom): 0.000
Space-group type: I4/mmm (139)

=====

No. 2
Entry from the Alexandria database: a geometry-optimized TaMo structure (PBE-GGA).

Lattice parameters (Å, degrees): 8.038 8.038 4.590 90.00 90.00 90.00
Sites, in units of the cell vectors:
Ta1 0.129 0.206 0.000
Ta2 0.206 0.871 0.000
Ta3 0.294 0.371 0.500
Ta4 0.371 0.706 0.500
Ta5 0.629 0.294 0.500
Ta6 0.706 0.629 0.500
Ta7 0.794 0.129 0.000
Ta8 0.871 0.794 0.000
Mo1 0.035 0.669 0.500
Mo2 0.169 0.535 0.000
Mo3 0.331 0.035 0.500
Mo4 0.465 0.169 0.000
Mo5 0.535 0.831 0.000
Mo6 0.669 0.965 0.500
Mo7 0.831 0.465 0.000
Mo8 0.965 0.331 0.500

Energy relative to the elements (eV/f.u.): 0.84
Fermi-level density of states (states/eV per atom): 0.998
Space-group type: P4/mnc (128)

=====

No. 3
Entry from the Alexandria database: a geometry-optimized LaI2O2 structure (PBE-GGA).

Lattice parameters (Å, degrees): 6.596 6.596 4.259 90.00 90.00 90.00
Sites, in units of the cell vectors:
La1 0.000 0.000 0.000
I1 0.000 0.500 0.000
I2 0.500 0.000 0.000
O1 0.000 0.000 0.500
O2 0.500 0.500 0.500

E_form (uncorrected) (kJ/mol of formula units): -332
Fermi-level density of states (states/eV per atom): 1.363
Polymorph energy (0 for the lowest one) (meV/atom): 479.4
Space-group type: P4/mmm (123)

=====

No. 4
Entry from the Alexandria database: a geometry-optimized Na3Ag2Br4 structure (PBE-GGA).

Lattice parameters (Å, degrees): 8.707 8.707 7.139 91.27 91.27 75.56
Sites, in units of the cell vectors:
Na1 0.142 0.858 0.750
Na2 0.246 0.482 0.383
Na3 0.482 0.246 0.883
Na4 0.518 0.754 0.117
Na5 0.754 0.518 0.617
Na6 0.858 0.142 0.250
Ag1 0.057 0.351 0.921
Ag2 0.351 0.057 0.421
Ag3 0.649 0.943 0.579
Ag4 0.943 0.649 0.079
Br1 0.061 0.253 0.535
Br2 0.253 0.061 0.035
Br3 0.281 0.574 0.987
Br4 0.426 0.719 0.513
Br5 0.574 0.281 0.487
Br6 0.719 0.426 0.013
Br7 0.747 0.939 0.965
Br8 0.939 0.747 0.465

E_form (uncorrected) (kJ/mol of formula units): -749
Fermi-level density of states (states/eV per atom): 0.362
Space-group type: C2/c (15)